Density functional theory data (PBE-GGA) for a relaxed structure of CaAlPb2.

## Properties
- Energy relative to the elements: 0.00 eV/atom
- Total moment: 0.000 μB/atom
- Crystal system: tetragonal
- N(E_F): 0.37 states/eV/atom

Cell lengths 4.8722, 4.8722, 20.8589 Å; angles 90.00, 90.00, 90.00 degrees
Fractional coordinates of all 16 atoms:
Ca 0.0000 0.0000 0.0000
Ca 0.0000 0.5000 0.2500
Ca 0.5000 0.0000 0.7500
Ca 0.5000 0.5000 0.5000
Al 0.0000 0.0000 0.5000
Al 0.0000 0.5000 0.7500
Al 0.5000 0.0000 0.2500
Al 0.5000 0.5000 0.0000
Pb 0.2109 0.2500 0.6250
Pb 0.2500 0.7109 0.8750
Pb 0.2500 0.7891 0.3750
Pb 0.2891 0.2500 0.1250
Pb 0.7109 0.7500 0.1250
Pb 0.7500 0.2109 0.3750
Pb 0.7500 0.2891 0.8750
Pb 0.7891 0.7500 0.6250